# FeBiMo3 SCAN PBEsol geometry
data_FeBiMo3
_space_group_name_H-M_alt 'P 1'
_space_group_IT_number 1
_space_group_name_Hall 'P 1'
_cell_length_a 4.484
_cell_length_b 4.484
_cell_length_c 4.484
_cell_angle_alpha 90.00
_cell_angle_beta 90.00
_cell_angle_gamma 90.00
loop_
_atom_site_label
_atom_site_type_symbol
_atom_site_fract_x
_atom_site_fract_y
_atom_site_fract_z
Fe1 Fe 0.000 0.000 0.000
Bi1 Bi 0.500 0.500 0.500
Mo1 Mo 0.000 0.000 0.500
Mo2 Mo 0.000 0.500 0.000
Mo3 Mo 0.500 0.000 0.000
# calculated formation energy: 1190 meV/atom
# space group: Pm-3m
# DFT total energy: -39.083 eV per atom